Below is MgSnIr2 after structural relaxation, with properties calculated at the GGA-PBE level.

* magnetic moment: 0.034 μB/atom
* E above lowest polymorph: 407 meV per atom

Lattice parameters (Å, degrees): 6.4488 6.4488 6.4488 90.00 90.00 90.00
Closest atoms and distances in Å follow each position.
Space group F-43m (No. 216)
Symmetry-distinct sites (fractional):
Mg1 0.0000 0.0000 0.0000 [4 per cell]  4 Sn 2.79, 4 Ir 2.79
Sn1 0.2500 0.2500 0.7500 [4 per cell]  4 Mg 2.79, 4 Ir 2.79
Ir1 0.0000 0.0000 0.5000 [4 per cell]  4 Ir 2.79, 4 Sn 2.79
Ir2 0.2500 0.2500 0.2500 [4 per cell]  4 Mg 2.79, 4 Ir 2.79